# 1
# ZnFeNi3

An optimized crystal structure of ZnFeNi3 (GGA-PBE, Alexandria via LeMat-Bulk). Values from VASP.

```
&SYSTEM
  ibrav = 0, nat = 5, ntyp = 3
/
ATOMIC_SPECIES
Zn 65.41 Zn.upf
Fe 55.84 Fe.upf
Ni 58.69 Ni.upf
CELL_PARAMETERS angstrom
4.283 0.000 0.000
0.000 4.283 0.000
0.000 0.000 4.283
ATOMIC_POSITIONS angstrom
Zn 0.000 0.000 0.000
Fe 2.142 2.142 2.142
Ni 0.000 2.142 2.142
Ni 2.142 0.000 2.142
Ni 2.142 2.142 0.000
```

Formation energy from the elements   4.579 eV/f.u.
Polymorph energy (0 for the lowest one)   5.07 eV/f.u.
Electronic total energy   -22.50 eV/cell

# 2
# ZnFe2Ni

An optimized crystal structure of ZnFe2Ni (GGA-PBE, Alexandria via LeMat-Bulk). Values from VASP.

```
&SYSTEM
  ibrav = 0, nat = 8, ntyp = 3
/
ATOMIC_SPECIES
Zn 65.41 Zn.upf
Fe 55.84 Fe.upf
Ni 58.69 Ni.upf
CELL_PARAMETERS angstrom
-3.313 3.313 2.433
3.313 -3.313 2.433
3.313 3.313 -2.433
ATOMIC_POSITIONS angstrom
Zn 0.000 0.000 0.000
Zn 0.000 3.313 1.216
Fe 1.656 -1.498 1.825
Fe 1.815 1.656 0.608
Fe 1.656 4.811 -0.608
Fe 1.498 1.656 3.041
Ni 3.313 0.000 1.216
Ni 0.000 0.000 2.433
```

Formation energy from the elements   1.568 eV/f.u.
Electronic total energy   -44.82 eV/cell

# 3
# ZnFe2Ni

An optimized crystal structure of ZnFe2Ni (GGA-PBE, Alexandria via LeMat-Bulk). Values from VASP.

```
&SYSTEM
  ibrav = 0, nat = 4, ntyp = 3
/
ATOMIC_SPECIES
Zn 65.41 Zn.upf
Fe 55.84 Fe.upf
Ni 58.69 Ni.upf
CELL_PARAMETERS angstrom
2.916 0.000 0.000
0.000 2.916 0.000
0.000 0.000 5.663
ATOMIC_POSITIONS angstrom
Zn 0.000 0.000 0.000
Fe 0.000 0.000 2.853
Fe 1.458 1.458 1.505
Ni 1.458 1.458 4.230
```

Formation energy from the elements   -0.058 eV/f.u.
Electronic total energy   -24.04 eV/cell

# 4
# ZnFe2Ni

An optimized crystal structure of ZnFe2Ni (GGA-PBE, Alexandria via LeMat-Bulk). Values from VASP.

```
&SYSTEM
  ibrav = 0, nat = 4, ntyp = 3
/
ATOMIC_SPECIES
Zn 65.41 Zn.upf
Fe 55.84 Fe.upf
Ni 58.69 Ni.upf
CELL_PARAMETERS angstrom
2.546 0.000 0.000
0.000 2.546 0.000
0.000 0.000 7.390
ATOMIC_POSITIONS angstrom
Zn 0.000 0.000 0.000
Fe 0.000 0.000 3.841
Fe 1.273 1.273 1.944
Ni 1.273 1.273 5.565
```

Formation energy from the elements   -0.134 eV/f.u.
Electronic total energy   -24.11 eV/cell

# 5
# ZnFeNi3

An optimized crystal structure of ZnFeNi3 (GGA-PBE, Alexandria via LeMat-Bulk). Values from VASP.

```
&SYSTEM
  ibrav = 0, nat = 10, ntyp = 3
/
ATOMIC_SPECIES
Zn 65.41 Zn.upf
Fe 55.84 Fe.upf
Ni 58.69 Ni.upf
CELL_PARAMETERS angstrom
6.554 -1.762 0.000
6.554 1.762 0.000
-1.102 0.000 5.005
ATOMIC_POSITIONS angstrom
Zn 1.246 0.000 0.293
Zn 10.759 0.000 4.712
Fe 3.780 0.000 0.824
Fe 8.225 0.000 4.181
Ni 0.678 0.000 2.776
Ni 3.159 0.000 3.261
Ni 6.270 0.000 1.286
Ni 5.736 0.000 3.719
Ni 8.847 0.000 1.745
Ni 11.327 0.000 2.230
```

Formation energy from the elements   -0.335 eV/f.u.
Polymorph energy (0 for the lowest one)   0.16 eV/f.u.
Electronic total energy   -54.83 eV/cell

# 6
# ZnFeNi6

An optimized crystal structure of ZnFeNi6 (GGA-PBE, Alexandria via LeMat-Bulk). Values from VASP.

```
&SYSTEM
  ibrav = 0, nat = 32, ntyp = 3
/
ATOMIC_SPECIES
Zn 65.41 Zn.upf
Fe 55.84 Fe.upf
Ni 58.69 Ni.upf
CELL_PARAMETERS angstrom
3.554 -5.031 0.000
3.554 5.031 0.000
0.000 0.000 10.054
ATOMIC_POSITIONS angstrom
Zn 0.000 0.000 2.512
Zn 0.000 0.000 7.542
Zn 3.554 2.526 0.000
Zn 3.554 -2.526 0.000
Fe 3.554 2.508 5.027
Fe 3.554 0.000 2.499
Fe 3.554 0.000 7.555
Fe 3.554 -2.508 5.027
Ni 0.000 0.000 0.000
Ni 0.000 0.000 5.027
Ni 1.796 1.265 3.788
Ni 1.796 1.265 6.266
Ni 1.798 1.251 1.275
Ni 1.798 1.251 8.778
Ni 3.554 2.500 2.547
Ni 3.554 2.500 7.507
Ni 1.798 -1.251 1.275
Ni 1.798 -1.251 8.778
Ni 1.796 -1.265 3.788
Ni 1.796 -1.265 6.266
Ni 3.554 0.000 0.000
Ni 3.554 0.000 5.027
Ni 5.313 1.265 3.788
Ni 5.313 1.265 6.266
Ni 5.310 1.251 1.275
Ni 5.310 1.251 8.778
Ni 3.554 -2.500 2.547
Ni 3.554 -2.500 7.507
Ni 5.310 -1.251 1.275
Ni 5.310 -1.251 8.778
Ni 5.313 -1.265 3.788
Ni 5.313 -1.265 6.266
```

Formation energy from the elements   -0.884 eV/f.u.
Polymorph energy (0 for the lowest one)   0.02 eV/f.u.
Electronic total energy   -181.23 eV/cell

# 7
# ZnFe2Ni7

An optimized crystal structure of ZnFe2Ni7 (GGA-PBE, Alexandria via LeMat-Bulk). Values from VASP.

```
&SYSTEM
  ibrav = 0, nat = 10, ntyp = 3
/
ATOMIC_SPECIES
Zn 65.41 Zn.upf
Fe 55.84 Fe.upf
Ni 58.69 Ni.upf
CELL_PARAMETERS angstrom
3.153 -6.032 0.000
3.153 6.032 0.000
0.000 0.000 3.803
ATOMIC_POSITIONS angstrom
Zn 0.000 0.000 0.000
Fe 3.153 2.448 1.901
Fe 3.153 -2.448 1.901
Ni 1.177 1.258 1.901
Ni 3.153 3.672 0.000
Ni 1.177 -1.258 1.901
Ni 3.153 0.000 1.901
Ni 5.130 1.258 1.901
Ni 3.153 -3.672 0.000
Ni 5.130 -1.258 1.901
```

Formation energy from the elements   5.506 eV/f.u.
Electronic total energy   -53.16 eV/cell

# 8
# Zn2FeNi2

An optimized crystal structure of Zn2FeNi2 (GGA-PBE, Alexandria via LeMat-Bulk). Values from VASP.

```
&SYSTEM
  ibrav = 0, nat = 10, ntyp = 3
/
ATOMIC_SPECIES
Zn 65.41 Zn.upf
Fe 55.84 Fe.upf
Ni 58.69 Ni.upf
CELL_PARAMETERS angstrom
6.936 0.000 0.000
0.000 6.936 0.000
0.000 0.000 2.637
ATOMIC_POSITIONS angstrom
Zn 0.898 2.570 0.000
Zn 2.570 6.038 0.000
Zn 4.367 0.898 0.000
Zn 6.038 4.367 0.000
Fe 0.000 0.000 0.000
Fe 3.468 3.468 0.000
Ni 1.178 4.647 1.318
Ni 2.290 1.178 1.318
Ni 4.647 5.758 1.318
Ni 5.758 2.290 1.318
```

Formation energy from the elements   0.198 eV/f.u.
Polymorph energy (0 for the lowest one)   0.05 eV/f.u.
Electronic total energy   -44.75 eV/cell

# 9
# ZnFe4Ni5

An optimized crystal structure of ZnFe4Ni5 (GGA-PBE, Alexandria via LeMat-Bulk). Values from VASP.

```
&SYSTEM
  ibrav = 0, nat = 10, ntyp = 3
/
ATOMIC_SPECIES
Zn 65.41 Zn.upf
Fe 55.84 Fe.upf
Ni 58.69 Ni.upf
CELL_PARAMETERS angstrom
2.536 0.000 0.000
0.000 3.552 0.000
0.000 0.000 12.731
ATOMIC_POSITIONS angstrom
Zn 0.000 0.000 0.000
Fe 0.000 0.000 2.606
Fe 0.000 0.000 5.115
Fe 0.000 0.000 7.616
Fe 0.000 0.000 10.125
Ni 1.268 1.776 1.323
Ni 1.268 1.776 3.851
Ni 1.268 1.776 6.366
Ni 1.268 1.776 8.880
Ni 1.268 1.776 11.408
```

Formation energy from the elements   -0.848 eV/f.u.
Electronic total energy   -64.88 eV/cell

# 10
# ZnFeNi

An optimized crystal structure of ZnFeNi (GGA-PBE, Alexandria via LeMat-Bulk). Values from VASP.

```
&SYSTEM
  ibrav = 0, nat = 3, ntyp = 3
/
ATOMIC_SPECIES
Zn 65.41 Zn.upf
Fe 55.84 Fe.upf
Ni 58.69 Ni.upf
CELL_PARAMETERS angstrom
0.000 2.777 2.777
2.777 0.000 2.777
2.777 2.777 0.000
ATOMIC_POSITIONS angstrom
Zn 0.000 0.000 0.000
Fe 2.777 2.777 2.777
Ni 4.166 4.166 4.166
```

Formation energy from the elements   0.822 eV/f.u.
Polymorph energy (0 for the lowest one)   1.04 eV/f.u.
Electronic total energy   -14.70 eV/cell

# 11
# ZnFe4Ni15

An optimized crystal structure of ZnFe4Ni15 (GGA-PBE, Alexandria via LeMat-Bulk). Values from VASP.

```
&SYSTEM
  ibrav = 0, nat = 20, ntyp = 3
/
ATOMIC_SPECIES
Zn 65.41 Zn.upf
Fe 55.84 Fe.upf
Ni 58.69 Ni.upf
CELL_PARAMETERS angstrom
3.555 0.000 0.000
0.000 3.555 0.000
0.000 0.000 17.668
ATOMIC_POSITIONS angstrom
Zn 0.000 0.000 0.000
Fe 0.000 0.000 3.521
Fe 0.000 0.000 7.065
Fe 0.000 0.000 10.603
Fe 0.000 0.000 14.147
Ni 0.000 1.778 1.817
Ni 0.000 1.778 5.314
Ni 0.000 1.778 8.834
Ni 0.000 1.778 12.354
Ni 0.000 1.778 15.851
Ni 1.778 0.000 1.817
Ni 1.778 0.000 5.314
Ni 1.778 0.000 8.834
Ni 1.778 0.000 12.354
Ni 1.778 0.000 15.851
Ni 1.778 1.778 0.000
Ni 1.778 1.778 3.562
Ni 1.778 1.778 7.075
Ni 1.778 1.778 10.593
Ni 1.778 1.778 14.105
```

Formation energy from the elements   -1.982 eV/f.u.
Electronic total energy   -123.83 eV/cell

# 12
# ZnFe3Ni6

An optimized crystal structure of ZnFe3Ni6 (GGA-PBE, Alexandria via LeMat-Bulk). Values from VASP.

```
&SYSTEM
  ibrav = 0, nat = 20, ntyp = 3
/
ATOMIC_SPECIES
Zn 65.41 Zn.upf
Fe 55.84 Fe.upf
Ni 58.69 Ni.upf
CELL_PARAMETERS angstrom
7.938 0.000 0.000
0.000 3.580 0.000
-0.075 0.000 8.010
ATOMIC_POSITIONS angstrom
Zn 0.393 0.895 3.148
Zn 7.469 2.685 4.862
Fe 1.983 0.895 0.021
Fe 2.714 2.685 6.379
Fe 3.503 0.895 4.806
Fe 4.360 2.685 3.204
Fe 5.149 0.895 1.631
Fe 5.880 2.685 7.989
Ni 0.343 2.685 7.237
Ni 1.146 0.895 5.639
Ni 1.213 2.685 1.542
Ni 1.981 2.685 3.977
Ni 2.799 0.895 2.384
Ni 3.576 2.685 0.795
Ni 4.287 0.895 7.215
Ni 5.064 2.685 5.625
Ni 5.882 0.895 4.033
Ni 6.650 0.895 6.468
Ni 6.717 2.685 2.371
Ni 7.520 0.895 0.772
```

Formation energy from the elements   -0.899 eV/f.u.
Electronic total energy   -124.50 eV/cell

# 13
# ZnFe6Ni5

An optimized crystal structure of ZnFe6Ni5 (GGA-PBE, Alexandria via LeMat-Bulk). Values from VASP.

```
&SYSTEM
  ibrav = 0, nat = 12, ntyp = 3
/
ATOMIC_SPECIES
Zn 65.41 Zn.upf
Fe 55.84 Fe.upf
Ni 58.69 Ni.upf
CELL_PARAMETERS angstrom
1.776 -5.356 0.000
1.776 5.356 0.000
0.000 0.000 7.271
ATOMIC_POSITIONS angstrom
Zn 0.000 0.000 0.000
Fe 1.776 3.552 1.849
Fe 1.776 3.552 5.422
Fe 1.776 0.000 1.864
Fe 1.776 0.000 5.407
Fe 1.776 -3.552 1.849
Fe 1.776 -3.552 5.422
Ni 0.000 0.000 3.636
Ni 1.776 1.815 0.000
Ni 1.776 1.786 3.636
Ni 1.776 -1.786 3.636
Ni 1.776 -1.815 0.000
```

Formation energy from the elements   -0.534 eV/f.u.
Electronic total energy   -81.49 eV/cell

# 14
# ZnFeNi

An optimized crystal structure of ZnFeNi (GGA-PBE, Alexandria via LeMat-Bulk). Values from VASP.

```
&SYSTEM
  ibrav = 0, nat = 3, ntyp = 3
/
ATOMIC_SPECIES
Zn 65.41 Zn.upf
Fe 55.84 Fe.upf
Ni 58.69 Ni.upf
CELL_PARAMETERS angstrom
0.000 2.793 2.793
2.793 0.000 2.793
2.793 2.793 0.000
ATOMIC_POSITIONS angstrom
Zn 0.000 0.000 0.000
Fe 1.396 1.396 1.396
Ni 2.793 2.793 2.793
```

Formation energy from the elements   1.238 eV/f.u.
Polymorph energy (0 for the lowest one)   1.46 eV/f.u.
Electronic total energy   -14.28 eV/cell

# 15
# Zn2Fe2Ni

An optimized crystal structure of Zn2Fe2Ni (GGA-PBE, Alexandria via LeMat-Bulk). Values from VASP.

```
&SYSTEM
  ibrav = 0, nat = 10, ntyp = 3
/
ATOMIC_SPECIES
Zn 65.41 Zn.upf
Fe 55.84 Fe.upf
Ni 58.69 Ni.upf
CELL_PARAMETERS angstrom
7.076 0.000 0.000
0.000 7.076 0.000
0.000 0.000 2.626
ATOMIC_POSITIONS angstrom
Zn 1.287 2.251 0.000
Zn 2.251 5.789 0.000
Zn 4.825 1.287 0.000
Zn 5.789 4.825 0.000
Fe 0.815 4.353 1.313
Fe 2.723 0.815 1.313
Fe 4.353 6.261 1.313
Fe 6.261 2.723 1.313
Ni 0.000 0.000 1.313
Ni 3.538 3.538 1.313
```

Formation energy from the elements   1.327 eV/f.u.
Polymorph energy (0 for the lowest one)   0.00 eV/f.u.
Electronic total energy   -47.86 eV/cell

# 16
# Zn2Fe2Ni

An optimized crystal structure of Zn2Fe2Ni (GGA-PBE, Alexandria via LeMat-Bulk). Values from VASP.

```
&SYSTEM
  ibrav = 0, nat = 10, ntyp = 3
/
ATOMIC_SPECIES
Zn 65.41 Zn.upf
Fe 55.84 Fe.upf
Ni 58.69 Ni.upf
CELL_PARAMETERS angstrom
6.679 0.000 0.000
0.000 6.679 0.000
0.000 0.000 2.920
ATOMIC_POSITIONS angstrom
Zn 0.895 2.445 0.000
Zn 2.445 5.785 0.000
Zn 4.234 0.895 0.000
Zn 5.785 4.234 0.000
Fe 1.113 4.453 1.460
Fe 2.227 1.113 1.460
Fe 4.453 5.566 1.460
Fe 5.566 2.227 1.460
Ni 0.000 0.000 0.000
Ni 3.340 3.340 0.000
```

Formation energy from the elements   1.363 eV/f.u.
Polymorph energy (0 for the lowest one)   0.04 eV/f.u.
Electronic total energy   -47.78 eV/cell

# 17
# ZnFeNi5

An optimized crystal structure of ZnFeNi5 (GGA-PBE, Alexandria via LeMat-Bulk). Values from VASP.

```
&SYSTEM
  ibrav = 0, nat = 7, ntyp = 3
/
ATOMIC_SPECIES
Zn 65.41 Zn.upf
Fe 55.84 Fe.upf
Ni 58.69 Ni.upf
CELL_PARAMETERS angstrom
3.525 0.000 0.000
0.000 3.525 0.000
0.000 0.000 6.930
ATOMIC_POSITIONS angstrom
Zn 0.000 0.000 0.000
Fe 1.762 1.762 3.465
Ni 0.000 0.000 3.465
Ni 0.000 1.762 1.730
Ni 0.000 1.762 5.199
Ni 1.762 0.000 1.730
Ni 1.762 0.000 5.199
```

Formation energy from the elements   0.409 eV/f.u.
Polymorph energy (0 for the lowest one)   0.00 eV/f.u.
Electronic total energy   -38.23 eV/cell

# 18
# Zn2FeNi2

An optimized crystal structure of Zn2FeNi2 (GGA-PBE, Alexandria via LeMat-Bulk). Values from VASP.

```
&SYSTEM
  ibrav = 0, nat = 5, ntyp = 3
/
ATOMIC_SPECIES
Zn 65.41 Zn.upf
Fe 55.84 Fe.upf
Ni 58.69 Ni.upf
CELL_PARAMETERS angstrom
-1.689 1.689 6.004
1.689 -1.689 6.004
1.689 1.689 -6.004
ATOMIC_POSITIONS angstrom
Zn 1.689 0.000 3.002
Zn 0.000 1.689 3.002
Fe 0.000 0.000 0.000
Ni 0.000 0.000 4.862
Ni 0.000 0.000 7.145
```

Formation energy from the elements   1.343 eV/f.u.
Polymorph energy (0 for the lowest one)   1.19 eV/f.u.
Electronic total energy   -21.23 eV/cell

# 19
# Zn5FeNi4

An optimized crystal structure of Zn5FeNi4 (GGA-PBE, Alexandria via LeMat-Bulk). Values from VASP.

```
&SYSTEM
  ibrav = 0, nat = 10, ntyp = 3
/
ATOMIC_SPECIES
Zn 65.41 Zn.upf
Fe 55.84 Fe.upf
Ni 58.69 Ni.upf
CELL_PARAMETERS angstrom
2.703 0.000 0.000
0.000 2.703 0.000
0.000 0.000 16.766
ATOMIC_POSITIONS angstrom
Zn 0.000 0.000 0.000
Zn 0.000 0.000 3.290
Zn 0.000 0.000 6.586
Zn 0.000 0.000 10.180
Zn 0.000 0.000 13.476
Fe 1.352 1.352 8.383
Ni 1.352 1.352 1.642
Ni 1.352 1.352 4.938
Ni 1.352 1.352 11.829
Ni 1.352 1.352 15.124
```

Formation energy from the elements   -1.806 eV/f.u.
Electronic total energy   -39.76 eV/cell

# 20
# ZnFe2Ni

An optimized crystal structure of ZnFe2Ni (GGA-PBE, Alexandria via LeMat-Bulk). Values from VASP.

```
&SYSTEM
  ibrav = 0, nat = 4, ntyp = 3
/
ATOMIC_SPECIES
Zn 65.41 Zn.upf
Fe 55.84 Fe.upf
Ni 58.69 Ni.upf
CELL_PARAMETERS angstrom
2.532 -3.717 0.000
2.532 3.717 0.000
0.000 0.000 2.552
ATOMIC_POSITIONS angstrom
Zn 0.000 0.000 0.000
Fe 1.266 1.859 1.276
Fe 1.266 -1.859 1.276
Ni 2.532 0.000 0.000
```

Formation energy from the elements   -0.026 eV/f.u.
Electronic total energy   -24.01 eV/cell